No. 1
Computed, not measured: a geometry-optimized BeCdAs2Se structure at the PBE level of DFT.

Formation energy (no corrections) ... 6.73 eV/f.u.
Distance to the lowest polymorph of the same formula ... 951.4 meV per atom
E ... -10.7 eV per cell
Crystal system ... tetragonal

```
data_BeCdAs2Se
_chemical_formula_sum 'Be1 Cd1 As2 Se1'
_symmetry_space_group_name_H-M 'P 4/m m m'
_symmetry_Int_Tables_number 123
_symmetry_space_group_name_Hall '-P 4 2'
_cell_length_a 5.124
_cell_length_b 5.124
_cell_length_c 5.235
_cell_angle_alpha 90.00
_cell_angle_beta 90.00
_cell_angle_gamma 90.00
loop_
_atom_site_label
_atom_site_type_symbol
_atom_site_fract_x
_atom_site_fract_y
_atom_site_fract_z
_atom_site_occupancy
Be1 Be 0.000 0.000 0.000 1
Cd1 Cd 0.500 0.500 0.500 1
As1 As 0.000 0.500 0.500 1
Se1 Se 0.500 0.500 0.000 1
```

No. 2
Computed, not measured: a geometry-optimized CeSc2Hg4 structure at the PBE level of DFT.

E ... -21.2 eV per cell
Crystal system ... tetragonal
Energy of formation ... -0.20 eV per atom

```
data_CeSc2Hg4
_chemical_formula_sum 'Ce1 Sc2 Hg4'
_symmetry_space_group_name_H-M 'P 4/m m m'
_symmetry_Int_Tables_number 123
_symmetry_space_group_name_Hall '-P 4 2'
_cell_length_a 5.047
_cell_length_b 5.047
_cell_length_c 7.131
_cell_angle_alpha 90.00
_cell_angle_beta 90.00
_cell_angle_gamma 90.00
loop_
_atom_site_label
_atom_site_type_symbol
_atom_site_fract_x
_atom_site_fract_y
_atom_site_fract_z
_atom_site_occupancy
Ce1 Ce 0.000 0.000 0.000 1
Sc1 Sc 0.000 0.000 0.500 1
Sc2 Sc 0.500 0.500 0.000 1
Hg1 Hg 0.000 0.500 0.278 1
```

No. 3
Computed, not measured: a geometry-optimized Nd2HoThSc4 structure at the PBE level of DFT.

E ... -46.5 eV per cell
Crystal system ... monoclinic
Energy of formation ... 0.04 eV per atom

```
data_Nd2HoThSc4
_chemical_formula_sum 'Nd2 Ho1 Th1 Sc4'
_symmetry_space_group_name_H-M 'P 1 2/m 1'
_symmetry_Int_Tables_number 10
_cell_length_a 5.020
_cell_length_b 5.017
_cell_length_c 9.102
_cell_angle_alpha 90.00
_cell_angle_beta 90.01
_cell_angle_gamma 90.00
loop_
_symmetry_equiv_pos_as_xyz
'x,y,z'
'-x,-y,-z'
'-x,y,-z'
'x,-y,z'
loop_
_atom_site_label
_atom_site_type_symbol
_atom_site_fract_x
_atom_site_fract_y
_atom_site_fract_z
_atom_site_occupancy
Nd1 Nd 0.000 0.000 0.000 1
Nd2 Nd 0.500 0.500 0.500 1
Ho1 Ho 0.000 0.000 0.500 1
Th1 Th 0.500 0.500 0.000 1
Sc1 Sc 0.001 0.500 0.753 1
Sc2 Sc 0.499 0.000 0.248 1
```

No. 4
Computed, not measured: a geometry-optimized CsZn2PtAu structure at the PBE level of DFT.

E ... -13.7 eV per cell
Crystal system ... tetragonal
Energy of formation ... -0.19 eV per atom

```
data_CsZn2PtAu
_chemical_formula_sum 'Cs1 Zn2 Pt1 Au1'
_symmetry_space_group_name_H-M 'P 4/m m m'
_symmetry_Int_Tables_number 123
_symmetry_space_group_name_Hall '-P 4 2'
_cell_length_a 4.984
_cell_length_b 4.984
_cell_length_c 5.434
_cell_angle_alpha 90.00
_cell_angle_beta 90.00
_cell_angle_gamma 90.00
loop_
_atom_site_label
_atom_site_type_symbol
_atom_site_fract_x
_atom_site_fract_y
_atom_site_fract_z
_atom_site_occupancy
Cs1 Cs 0.000 0.000 0.000 1
Zn1 Zn 0.000 0.500 0.500 1
Pt1 Pt 0.500 0.500 0.500 1
Au1 Au 0.500 0.500 0.000 1
```

No. 5
Computed, not measured: a geometry-optimized Tb2AlZn3Pt4 structure at the PBE level of DFT.

E ... -49.4 eV per cell
Crystal system ... tetragonal
Energy of formation ... -0.84 eV per atom

```
data_Tb2AlZn3Pt4
_chemical_formula_sum 'Tb2 Al1 Zn3 Pt4'
_symmetry_space_group_name_H-M 'P -4 m 2'
_symmetry_Int_Tables_number 115
_cell_length_a 4.168
_cell_length_b 4.168
_cell_length_c 10.700
_cell_angle_alpha 90.00
_cell_angle_beta 90.00
_cell_angle_gamma 90.00
loop_
_symmetry_equiv_pos_as_xyz
'x,y,z'
'y,-x,-z'
'-x,-y,z'
'-y,x,-z'
'-x,y,z'
'-y,-x,-z'
'x,-y,z'
'y,x,-z'
loop_
_atom_site_label
_atom_site_type_symbol
_atom_site_fract_x
_atom_site_fract_y
_atom_site_fract_z
_atom_site_occupancy
Tb1 Tb 0.000 0.500 0.239 1
Al1 Al 0.000 0.000 0.500 1
Zn1 Zn 0.000 0.500 0.865 1
Zn2 Zn 0.500 0.500 0.500 1
Pt1 Pt 0.000 0.000 0.000 1
Pt2 Pt 0.000 0.500 0.635 1
Pt3 Pt 0.500 0.500 0.000 1
```

No. 6
Computed, not measured: a geometry-optimized KZrCd structure at the PBE level of DFT.

Distance to the lowest polymorph of the same formula ... 0.0 meV per atom
E ... -18.9 eV per cell
Crystal system ... tetragonal
Energy of formation ... 0.37 eV per atom

```
data_KZrCd
_chemical_formula_sum 'K2 Zr2 Cd2'
_symmetry_space_group_name_H-M 'I 4 m m'
_symmetry_Int_Tables_number 107
_symmetry_space_group_name_Hall 'I 4 -2'
_cell_length_a 3.270
_cell_length_b 3.270
_cell_length_c 16.574
_cell_angle_alpha 90.00
_cell_angle_beta 90.00
_cell_angle_gamma 90.00
loop_
_atom_site_label
_atom_site_type_symbol
_atom_site_fract_x
_atom_site_fract_y
_atom_site_fract_z
_atom_site_occupancy
K1 K 0.000 0.000 0.000 1
Zr1 Zr 0.000 0.000 0.703 1
Cd1 Cd 0.000 0.000 0.323 1
```

No. 7
Computed, not measured: a geometry-optimized PuMg2BiO8 structure at the PBE level of DFT.

Formation energy (no corrections) ... -23.31 eV/f.u.
E ... -168.8 eV per cell
Crystal system ... orthorhombic

```
data_PuMg2BiO8
_chemical_formula_sum 'Pu2 Mg4 Bi2 O16'
_symmetry_space_group_name_H-M 'C m m m'
_symmetry_Int_Tables_number 65
_symmetry_space_group_name_Hall '-C 2 2'
_cell_length_a 6.577
_cell_length_b 6.941
_cell_length_c 6.681
_cell_angle_alpha 90.00
_cell_angle_beta 90.00
_cell_angle_gamma 90.00
loop_
_atom_site_label
_atom_site_type_symbol
_atom_site_fract_x
_atom_site_fract_y
_atom_site_fract_z
_atom_site_occupancy
Pu1 Pu 0.000 0.000 0.000 1
Mg1 Mg 0.000 0.500 0.253 1
Bi1 Bi 0.000 0.000 0.500 1
O1 O 0.000 0.197 0.235 1
O2 O 0.191 0.500 0.500 1
O3 O 0.207 0.500 0.000 1
```

No. 8
Computed, not measured: a geometry-optimized Tb5Sm12Er structure at the PBE level of DFT.

E ... -168.1 eV per cell
Crystal system ... monoclinic
Energy of formation ... 0.01 eV per atom

```
data_Tb5Sm12Er
_chemical_formula_sum 'Tb10 Sm24 Er2'
_symmetry_space_group_name_H-M 'C 1 2/m 1'
_symmetry_Int_Tables_number 12
_cell_length_a 18.705
_cell_length_b 10.807
_cell_length_c 6.232
_cell_angle_alpha 90.00
_cell_angle_beta 109.22
_cell_angle_gamma 90.00
loop_
_symmetry_equiv_pos_as_xyz
'x,y,z'
'-x,-y,-z'
'-x,y,-z'
'x,-y,z'
'x+1/2,y+1/2,z'
'-x+1/2,-y+1/2,-z'
'-x+1/2,y+1/2,-z'
'x+1/2,-y+1/2,z'
loop_
_atom_site_label
_atom_site_type_symbol
_atom_site_fract_x
_atom_site_fract_y
_atom_site_fract_z
_atom_site_occupancy
Tb1 Tb 0.000 0.000 0.000 1
Tb2 Tb 0.166 0.500 0.999 1
Tb3 Tb 0.167 0.000 0.500 1
Sm1 Sm 0.000 0.166 0.500 1
Sm2 Sm 0.000 0.334 0.000 1
Sm3 Sm 0.166 0.334 0.500 1
Sm4 Sm 0.167 0.166 0.000 1
Er1 Er 0.000 0.500 0.500 1
```

No. 9
Computed, not measured: a geometry-optimized Pr2DyIn3 structure at the PBE level of DFT.

Distance to the lowest polymorph of the same formula ... 186.6 meV per atom
E ... -96.7 eV per cell
Crystal system ... orthorhombic
Energy of formation ... -0.30 eV per atom

```
data_Pr2DyIn3
_chemical_formula_sum 'Pr8 Dy4 In12'
_symmetry_space_group_name_H-M 'C m c m'
_symmetry_Int_Tables_number 63
_symmetry_space_group_name_Hall '-C 2c 2'
_cell_length_a 3.790
_cell_length_b 29.514
_cell_length_c 6.600
_cell_angle_alpha 90.00
_cell_angle_beta 90.00
_cell_angle_gamma 90.00
loop_
_atom_site_label
_atom_site_type_symbol
_atom_site_fract_x
_atom_site_fract_y
_atom_site_fract_z
_atom_site_occupancy
Pr1 Pr 0.000 0.006 0.250 1
Pr2 Pr 0.000 0.154 0.750 1
Dy1 Dy 0.000 0.331 0.750 1
In1 In 0.000 0.254 0.250 1
In2 In 0.000 0.422 0.010 1
```

No. 10
Computed, not measured: a geometry-optimized LaMgSb2I structure at the PBE level of DFT.

Formation energy (no corrections) ... -1.43 eV/f.u.
Distance to the lowest polymorph of the same formula ... 0.0 meV per atom
E ... -17.7 eV per cell
Crystal system ... tetragonal

```
data_LaMgSb2I
_chemical_formula_sum 'La1 Mg1 Sb2 I1'
_symmetry_space_group_name_H-M 'P 4/m m m'
_symmetry_Int_Tables_number 123
_symmetry_space_group_name_Hall '-P 4 2'
_cell_length_a 5.345
_cell_length_b 5.345
_cell_length_c 5.754
_cell_angle_alpha 90.00
_cell_angle_beta 90.00
_cell_angle_gamma 90.00
loop_
_atom_site_label
_atom_site_type_symbol
_atom_site_fract_x
_atom_site_fract_y
_atom_site_fract_z
_atom_site_occupancy
La1 La 0.000 0.000 0.000 1
Mg1 Mg 0.500 0.500 0.500 1
Sb1 Sb 0.000 0.500 0.500 1
I1 I 0.500 0.500 0.000 1
```

No. 11
Computed, not measured: a geometry-optimized MnCr2Re structure at the PBE level of DFT.

E ... -40.6 eV per cell
Crystal system ... monoclinic
Energy of formation ... 0.07 eV per atom

```
data_MnCr2Re
_chemical_formula_sum 'Mn1 Cr2 Re1'
_symmetry_space_group_name_H-M 'P 1 m 1'
_symmetry_Int_Tables_number 6
_cell_length_a 2.554
_cell_length_b 4.092
_cell_length_c 4.884
_cell_angle_alpha 90.00
_cell_angle_beta 100.19
_cell_angle_gamma 90.00
loop_
_symmetry_equiv_pos_as_xyz
'x,y,z'
'x,-y,z'
loop_
_atom_site_label
_atom_site_type_symbol
_atom_site_fract_x
_atom_site_fract_y
_atom_site_fract_z
_atom_site_occupancy
Mn1 Mn 0.000 0.000 0.000 1
Cr1 Cr 0.241 0.500 0.762 1
Cr2 Cr 0.466 0.000 0.522 1
Re1 Re 0.716 0.500 0.261 1
```

No. 12
Computed, not measured: a geometry-optimized Dy2Tl3Cu structure at the PBE level of DFT.

E ... -21.5 eV per cell
Crystal system ... orthorhombic
Energy of formation ... -0.18 eV per atom

```
data_Dy2Tl3Cu
_chemical_formula_sum 'Dy2 Tl3 Cu1'
_symmetry_space_group_name_H-M 'P m m 2'
_symmetry_Int_Tables_number 25
_cell_length_a 3.609
_cell_length_b 4.842
_cell_length_c 8.553
_cell_angle_alpha 90.00
_cell_angle_beta 90.00
_cell_angle_gamma 90.00
loop_
_symmetry_equiv_pos_as_xyz
'x,y,z'
'-x,-y,z'
'-x,y,z'
'x,-y,z'
loop_
_atom_site_label
_atom_site_type_symbol
_atom_site_fract_x
_atom_site_fract_y
_atom_site_fract_z
_atom_site_occupancy
Dy1 Dy 0.000 0.000 0.000 1
Dy2 Dy 0.000 0.500 0.475 1
Tl1 Tl 0.500 0.000 0.620 1
Tl2 Tl 0.500 0.500 0.172 1
Tl3 Tl 0.500 0.500 0.823 1
Cu1 Cu 0.500 0.000 0.306 1
```

Question: The lowest E belongs to which entry?
Answer: PuMg2BiO8